Here is crystalline LiIr3Pb at its relaxed geometry from the Alexandria database. Energies are from PBE-GGA.

Cell: 4.2805 4.2805 4.2805 Å, 90.00 90.00 90.00°
Last column: nearest neighbours and their distance in Å.
Positions (direct):
Li: 0.0000 0.0000 0.0000  6 Ir 2.14
Ir: 0.0000 0.0000 0.5000  2 Li 2.14
Ir: 0.0000 0.5000 0.0000  2 Li 2.14
Ir: 0.5000 0.0000 0.0000  2 Li 2.14
Pb: 0.5000 0.5000 0.5000  12 Ir 3.03

Its density of states at the Fermi level is 0.365 states/eV/atom. The value obtained for the magnetic moment is 0.0 Bohr magnetons per cell. The calculation puts the energy relative to the lowest polymorph listed for this composition at 0.0 meV per atom. The formation energy is 4.1 eV per formula unit.